1.
A plane-wave DFT calculation with SCAN was carried out for a PBEsol-optimized structure of SrLiVPO6.

* uncorrected formation energy: -2.808 eV per atom

Cell lengths 5.288, 10.721, 8.201 Å; angles 90.00, 90.55, 90.00 degrees
Atoms (fractional coordinates):
Sr  0.194  0.228  0.123
Sr  0.194  0.272  0.623
Sr  0.806  0.728  0.377
Sr  0.806  0.772  0.877
Li  0.196  0.515  0.384
Li  0.196  0.985  0.884
Li  0.804  0.015  0.116
Li  0.804  0.485  0.616
V  0.357  0.587  0.082
V  0.357  0.913  0.582
V  0.643  0.087  0.418
V  0.643  0.413  0.918
P  0.312  0.614  0.697
P  0.312  0.886  0.197
P  0.688  0.114  0.803
P  0.688  0.386  0.303
O  0.079  0.606  0.582
O  0.079  0.894  0.082
O  0.111  0.619  0.207
O  0.111  0.881  0.707
O  0.221  0.650  0.870
O  0.221  0.850  0.370
O  0.321  0.075  0.514
O  0.321  0.425  0.014
O  0.451  0.015  0.195
O  0.451  0.485  0.695
O  0.497  0.215  0.865
O  0.497  0.285  0.365
O  0.503  0.715  0.635
O  0.503  0.785  0.135
O  0.549  0.515  0.305
O  0.549  0.985  0.805
O  0.679  0.575  0.986
O  0.679  0.925  0.486
O  0.779  0.150  0.630
O  0.779  0.350  0.130
O  0.889  0.119  0.293
O  0.889  0.381  0.793
O  0.921  0.106  0.918
O  0.921  0.394  0.418

---

2.
A plane-wave DFT calculation with SCAN was carried out for a PBEsol-optimized structure of DyLuAg2.

* E: -41.864 eV per atom

Cell lengths 4.994, 4.994, 4.994 Å; angles 60.00, 60.00, 60.00 degrees
Atoms (fractional coordinates):
Dy  0.000  0.000  0.000
Lu  0.500  0.500  0.500
Ag  0.250  0.250  0.250
Ag  0.750  0.750  0.750

---

3.
A plane-wave DFT calculation with SCAN was carried out for a PBEsol-optimized structure of TlAsPtSe2.

* uncorrected formation energy: 0.171 eV per atom
* ΔE to the lowest computed polymorph: 0.0 meV/atom

Cell lengths 5.237, 5.237, 4.584 Å; angles 90.00, 90.00, 90.00 degrees
Atoms (fractional coordinates):
Tl  0.000  0.000  0.000
As  0.500  0.500  0.000
Pt  0.500  0.500  0.500
Se  0.000  0.500  0.500
Se  0.500  0.000  0.500

---

4.
A plane-wave DFT calculation with SCAN was carried out for a PBEsol-optimized structure of SiPPb2.

* uncorrected formation energy: 0.612 eV per atom
* ΔE to the lowest computed polymorph: 349.9 meV/atom

Cell lengths 4.906, 4.906, 3.772 Å; angles 90.00, 90.00, 95.42 degrees
Atoms (fractional coordinates):
Si  0.000  0.000  0.000
P  0.500  0.500  0.000
Pb  0.000  0.500  0.500
Pb  0.500  0.000  0.500

---

In Mg/m³, the ρ values for the records above are, in order, 3.89; 10.43; 8.35; 8.70.